Crystalline TmTlHgO3 at its relaxed geometry, computed with PBE-GGA.

Calculated values
space-group type	Cmcm, No. 63
raw total energy	-5.378	eV per atom

Unit cell a=7.045 b=7.045 c=8.698 alpha=90.00 beta=90.00 gamma=28.43
Element x y z (fractional)
Hg1 0.662 0.662 0.250
Hg2 0.338 0.338 0.750
O1 0.603 0.603 0.023
O2 0.956 0.956 0.250
O3 0.603 0.603 0.477
O4 0.397 0.397 0.523
O5 0.044 0.044 0.750
O6 0.397 0.397 0.977
Tl1 0.337 0.337 0.250
Tl2 0.663 0.663 0.750
Tm1 0.000 0.000 0.000
Tm2 0.000 0.000 0.500

***

Crystalline YTlHgO3 at its relaxed geometry, computed with PBE-GGA.

Calculated values
space-group type	Cmcm, No. 63
raw total energy	-5.659	eV per atom

Unit cell a=7.002 b=7.002 c=8.850 alpha=90.00 beta=90.00 gamma=29.15
Element x y z (fractional)
Hg1 0.347 0.347 0.250
Hg2 0.653 0.653 0.750
O1 0.394 0.394 0.023
O2 0.045 0.045 0.250
O3 0.394 0.394 0.477
O4 0.606 0.606 0.523
O5 0.955 0.955 0.750
O6 0.606 0.606 0.977
Tl1 0.666 0.666 0.250
Tl2 0.334 0.334 0.750
Y1 0.000 0.000 0.000
Y2 0.000 0.000 0.500

***

Crystalline ZrTlHg3O4 at its relaxed geometry, computed with PBE-GGA.

Calculated values
space-group type	P-43m, No. 215
raw total energy	-4.379	eV per atom

Unit cell a=5.987 b=5.987 c=5.987 alpha=90.00 beta=90.00 gamma=90.00
Element x y z (fractional)
Hg1 0.500 0.500 0.000
Hg2 0.500 0.000 0.500
Hg3 0.000 0.500 0.500
O1 0.304 0.304 0.304
O2 0.696 0.696 0.304
O3 0.696 0.304 0.696
O4 0.304 0.696 0.696
Tl1 0.000 0.000 0.000
Zr1 0.500 0.500 0.500

***

Crystalline Tm2Hg2O5 at its relaxed geometry, computed with PBE-GGA.

Calculated values
space-group type	P4/mmm, No. 123
raw total energy	-5.599	eV per atom

Unit cell a=8.596 b=4.058 c=4.058 alpha=90.00 beta=90.00 gamma=90.00
Element x y z (fractional)
Hg1 0.000 0.000 0.000
Hg2 0.500 0.000 0.000
O1 0.168 0.500 0.000
O2 0.832 0.500 0.000
O3 0.168 0.000 0.500
O4 0.832 0.000 0.500
O5 0.500 0.500 0.500
Tm1 0.251 0.500 0.500
Tm2 0.749 0.500 0.500

***

Crystalline Tm2Hg2O5 at its relaxed geometry, computed with PBE-GGA.

Calculated values
space-group type	P4/mmm, No. 123
raw total energy	-4.927	eV per atom

Unit cell a=7.156 b=4.273 c=4.273 alpha=90.00 beta=90.00 gamma=90.00
Element x y z (fractional)
Hg1 0.193 0.500 0.500
Hg2 0.808 0.500 0.500
O1 0.206 0.500 0.000
O2 0.794 0.500 0.000
O3 0.206 0.000 0.500
O4 0.794 0.000 0.500
O5 0.500 0.500 0.500
Tm1 0.000 0.000 0.000
Tm2 0.500 0.000 0.000

***

Crystalline Y2Hg2O5 at its relaxed geometry, computed with PBE-GGA.

Calculated values
space-group type	P4/mmm, No. 123
raw total energy	-5.959	eV per atom

Unit cell a=8.775 b=4.099 c=4.099 alpha=90.00 beta=90.00 gamma=90.00
Element x y z (fractional)
Hg1 0.000 0.000 0.000
Hg2 0.500 0.000 0.000
O1 0.163 0.500 0.000
O2 0.837 0.500 0.000
O3 0.163 0.000 0.500
O4 0.837 0.000 0.500
O5 0.500 0.500 0.500
Y1 0.251 0.500 0.500
Y2 0.749 0.500 0.500